1.
# RbVBi2 (PBE, relaxed)
# - Distance to the lowest polymorph of the same formula: 0.0 kJ/mol of atoms
# - Calculated formation energy: 0.073 eV per atom
data_RbVBi2
_chemical_formula_sum 'Rb1 V1 Bi2'
_cell_length_a 3.533
_cell_length_b 3.533
_cell_length_c 9.396
_cell_angle_alpha 90.00
_cell_angle_beta 90.00
_cell_angle_gamma 90.00
_space_group_name_H-M_alt 'P 4/m m m'
_space_group_IT_number 123
_space_group_name_Hall '-P 4 2'
loop_
_atom_site_label
_atom_site_type_symbol
_atom_site_fract_x
_atom_site_fract_y
_atom_site_fract_z
_atom_site_occupancy
Rb1 Rb 0.000 0.000 0.000 1
V1 V 0.000 0.000 0.500 1
Bi1 Bi 0.500 0.500 0.315 1

=====

2.
# RbVBi2 (PBE, relaxed)
# - Distance to the lowest polymorph of the same formula: 11.5 kJ/mol of atoms
# - Calculated formation energy: 0.193 eV per atom
data_RbVBi2
_chemical_formula_sum 'Rb4 V4 Bi8'
_cell_length_a 6.860
_cell_length_b 6.860
_cell_length_c 15.832
_cell_angle_alpha 90.00
_cell_angle_beta 90.00
_cell_angle_gamma 90.00
_space_group_name_H-M_alt 'I 41/a m d'
_space_group_IT_number 141
loop_
_space_group_symop_operation_xyz
'x,y,z'
'-x,-y,-z'
'-y+1/4,x+3/4,z+1/4'
'y+1/4,-x+3/4,-z+1/4'
'-x+1/2,-y,z+1/2'
'x+1/2,y,-z+1/2'
'y+1/4,-x+1/4,z+3/4'
'-y+1/4,x+1/4,-z+3/4'
'x,-y,-z'
'-x,y,z'
'-y+1/4,-x+1/4,-z+3/4'
'y+1/4,x+1/4,z+3/4'
'-x+1/2,y,-z+1/2'
'x+1/2,-y,z+1/2'
'y+1/4,x+3/4,-z+1/4'
'-y+1/4,-x+3/4,z+1/4'
'x+1/2,y+1/2,z+1/2'
'-x+1/2,-y+1/2,-z+1/2'
'-y+3/4,x+1/4,z+3/4'
'y+3/4,-x+1/4,-z+3/4'
'-x,-y+1/2,z'
'x,y+1/2,-z'
'y+3/4,-x+3/4,z+1/4'
'-y+3/4,x+3/4,-z+1/4'
'x+1/2,-y+1/2,-z+1/2'
'-x+1/2,y+1/2,z+1/2'
'-y+3/4,-x+3/4,-z+1/4'
'y+3/4,x+3/4,z+1/4'
'-x,y+1/2,-z'
'x,-y+1/2,z'
'y+3/4,x+1/4,-z+3/4'
'-y+3/4,-x+1/4,z+3/4'
loop_
_atom_site_label
_atom_site_type_symbol
_atom_site_fract_x
_atom_site_fract_y
_atom_site_fract_z
_atom_site_occupancy
Rb1 Rb 0.000 0.250 0.375 1
V1 V 0.000 0.250 0.875 1
Bi1 Bi 0.000 0.000 0.000 1